A relaxed structure of LiZrTlCu. Source: OQMD, functional PBE.

Computed properties:
space group: F-43m, No. 216
energy above the lowest structure with this stoichiometry: 177.8 meV/atom

Structure (extended XYZ):
```
4
Lattice="0.000 3.312 3.312 3.312 0.000 3.312 3.312 3.312 0.000" Properties=species:S:1:pos:R:3 pbc="T T T"
Li 0.000 0.000 0.000
Zr 1.656 1.656 1.656
Tl 3.312 3.312 3.312
Cu 4.967 4.967 4.967
```

---

A relaxed structure of Li2Tm2Cu15. Source: OQMD, functional PBE.

Computed properties:
space group: R-3m, No. 166

Structure (extended XYZ):
```
19
Lattice="4.238 2.447 4.171 -4.238 2.447 4.171 0.000 -4.894 4.171" Properties=species:S:1:pos:R:3 pbc="T T T"
Li 0.000 0.000 1.177
Li 0.000 0.000 11.334
Tm 0.000 0.000 4.336
Tm 0.000 0.000 8.175
Cu -4.238 0.000 6.256
Cu -1.299 -2.644 4.171
Cu -2.119 1.224 2.085
Cu -2.939 0.197 4.171
Cu -2.100 -1.212 6.130
Cu 1.299 -2.644 4.171
Cu -1.640 2.447 4.171
Cu 0.000 -2.425 6.382
Cu -2.100 1.212 6.382
Cu 2.119 1.224 2.085
Cu 2.100 -1.212 6.130
Cu 0.000 2.425 6.130
Cu 2.939 0.197 4.171
Cu 1.640 2.447 4.171
Cu 2.100 1.212 6.382
```

---

What did we get for total energy? Answer: -3.992; -3.750 eV/atom, in the order shown.